Ho2ErPaCo2: relaxed, PBE-GGA.

**Symmetry**: Ibam
**Total moment**: 0.000 μB/f.u.
**Energy of formation**: -197 meV/atom

a b c (Å): 6.6895 6.7697 7.8802
angles (deg): 115.44 115.12 90.00
With the nearest neighbours (Å) after each atom.
Fractional coordinates of all 12 atoms:
Ho 0.7007 0.9065 0.4014  1 Co 2.69
Ho 0.2007 0.4949 0.4014  1 Co 2.69
Ho 0.7993 0.5051 0.5986  1 Co 2.69
Ho 0.2993 0.0935 0.5986  1 Co 2.69
Er 0.2500 0.0000 0.0000  4 Co 2.83
Er 0.7500 0.0000 0.0000  4 Co 2.83
Pa 0.7500 0.5000 0.0000  4 Co 2.46
Pa 0.2500 0.5000 0.0000  4 Co 2.46
Co 0.4097 0.6175 0.8194  2 Pa 2.46, 1 Ho 2.69
Co 0.5903 0.3825 0.1806  2 Pa 2.46, 1 Ho 2.69
Co 0.0903 0.7981 0.1806  2 Pa 2.46, 1 Ho 2.69
Co 0.9097 0.2019 0.8194  2 Pa 2.46, 1 Ho 2.69

=====

Ag4Se3: relaxed, PBE-GGA.

**ΔE to the lowest computed polymorph**: 0 meV per atom
**Symmetry**: I4/mmm
**Energy relative to the elements, uncorrected**: 0.032 eV/atom
**Total moment**: 0.000 μB/f.u.

a b c (Å): 11.7630 11.7630 11.7630
angles (deg): 161.80 161.80 25.85
With the nearest neighbours (Å) after each atom.
Fractional coordinates of all 7 atoms:
Se 0.0000 0.0000 0.0000  8 Ag 2.97
Se 0.6740 0.6740 0.0000  5 Ag 2.62-2.65
Se 0.3260 0.3260 0.0000  5 Ag 2.62-2.65
Ag 0.8109 0.8109 0.0000  4 Se 2.65
Ag 0.1891 0.1891 0.0000  4 Se 2.65
Ag 0.5598 0.5598 0.0000  1 Se 2.62, 1 Ag 2.74
Ag 0.4402 0.4402 0.0000  1 Se 2.62, 1 Ag 2.74

=====

Ba3CaPt: relaxed, PBE-GGA.

**ΔE to the lowest computed polymorph**: 0 meV per atom
**Symmetry**: P4_1
**Total moment**: 0.000 μB/f.u.
**Energy of formation**: -374 meV/atom

a b c (Å): 8.4295 8.4295 14.4242
angles (deg): 90.00 90.00 90.00
With the nearest neighbours (Å) after each atom.
Fractional coordinates of all 20 atoms:
Ba 0.5776 0.3330 0.1260  2 Pt 3.12-3.20
Ba 0.6921 0.0255 0.8741  1 Pt 3.08
Ba 0.6670 0.5776 0.3760  2 Pt 3.12-3.20
Ba 0.8085 0.0823 0.3481  2 Pt 3.13-3.16
Ba 0.9745 0.6921 0.1241  1 Pt 3.08
Ba 0.9177 0.8085 0.5981  2 Pt 3.13-3.16
Ba 0.0823 0.1915 0.0981  2 Pt 3.13-3.16
Ba 0.0255 0.3079 0.6241  1 Pt 3.08
Ba 0.1915 0.9177 0.8481  2 Pt 3.13-3.16
Ba 0.3330 0.4224 0.8760  2 Pt 3.12-3.20
Ba 0.3079 0.9745 0.3741  1 Pt 3.08
Ba 0.4224 0.6670 0.6260  2 Pt 3.12-3.20
Ca 0.5298 0.1628 0.6016  1 Pt 2.83
Ca 0.8372 0.5298 0.8516  1 Pt 2.83
Ca 0.1628 0.4702 0.3516  1 Pt 2.83
Ca 0.4702 0.8372 0.1016  1 Pt 2.83
Pt 0.6025 0.8948 0.4915  1 Ca 2.83, 4 Ba 3.08-3.16
Pt 0.8948 0.3975 0.2415  1 Ca 2.83, 4 Ba 3.08-3.16
Pt 0.1052 0.6025 0.7415  1 Ca 2.83, 4 Ba 3.08-3.16
Pt 0.3975 0.1052 0.9915  1 Ca 2.83, 4 Ba 3.08-3.16

=====

HoMg9Hg2: relaxed, PBE-GGA.

**Symmetry**: I4_1/amd
**Total moment**: 0.000 μB/f.u.
**Energy of formation**: -95 meV/atom

a b c (Å): 7.6264 9.3405 9.3405
angles (deg): 80.41 65.91 65.91
With the nearest neighbours (Å) after each atom.
Fractional coordinates of all 24 atoms:
Ho 0.5000 0.0000 0.0000  18 Mg 3.62-3.94
Ho 0.2500 0.5000 0.5000  18 Mg 3.62-3.94
Mg 0.7500 0.5000 0.5000  4 Hg 3.16, 8 Mg 3.19
Mg 0.0000 0.0000 0.0000  4 Hg 3.16, 8 Mg 3.19
Mg 0.9994 0.9229 0.6804  2 Hg 2.91-2.94, 6 Mg 2.92-3.19
Mg 0.6026 0.0771 0.3196  2 Hg 2.91-2.94, 6 Mg 2.92-3.19
Mg 0.6723 0.1804 0.5771  2 Hg 2.91-2.94, 6 Mg 2.92-3.19
Mg 0.4298 0.8196 0.4229  2 Hg 2.91-2.94, 6 Mg 2.92-3.19
Mg 0.7506 0.8196 0.5771  2 Hg 2.91-2.94, 6 Mg 2.92-3.19
Mg 0.1474 0.1804 0.4229  2 Hg 2.91-2.94, 6 Mg 2.92-3.19
Mg 0.0777 0.9229 0.3196  2 Hg 2.91-2.94, 6 Mg 2.92-3.19
Mg 0.3202 0.0771 0.6804  2 Hg 2.91-2.94, 6 Mg 2.92-3.19
Mg 0.7506 0.5771 0.8196  2 Hg 2.91-2.94, 6 Mg 2.92-3.19
Mg 0.1474 0.4229 0.1804  2 Hg 2.91-2.94, 6 Mg 2.92-3.19
Mg 0.0777 0.3196 0.9229  2 Hg 2.91-2.94, 6 Mg 2.92-3.19
Mg 0.3202 0.6804 0.0771  2 Hg 2.91-2.94, 6 Mg 2.92-3.19
Mg 0.9994 0.6804 0.9229  2 Hg 2.91-2.94, 6 Mg 2.92-3.19
Mg 0.6026 0.3196 0.0771  2 Hg 2.91-2.94, 6 Mg 2.92-3.19
Mg 0.6723 0.5771 0.1804  2 Hg 2.91-2.94, 6 Mg 2.92-3.19
Mg 0.4298 0.4229 0.8196  2 Hg 2.91-2.94, 6 Mg 2.92-3.19
Hg 0.8750 0.2500 0.7500  10 Mg 2.91-3.16
Hg 0.8750 0.7500 0.2500  10 Mg 2.91-3.16
Hg 0.8750 0.2500 0.2500  10 Mg 2.91-3.16
Hg 0.3750 0.7500 0.7500  10 Mg 2.91-3.16

=====

Number 1: V 23.70 Å³ per atom. Number 2: V 22.68 Å³ per atom. Number 3: V 51.25 Å³ per atom. Number 4: V 23.10 Å³ per atom.